Version i
Here is a geometry-optimized ThZnCuRh structure from the Alexandria database. Energies are from PBE.

Cell and atoms, written as extended XYZ:
```
4
Lattice="0.000 3.354 3.354 3.354 0.000 3.354 3.354 3.354 0.000" Properties=species:S:1:pos:R:3 pbc="T T T"
Th 0.000 0.000 0.000
Zn 3.354 3.354 3.354
Cu 1.677 1.677 1.677
Rh 5.031 5.031 5.031
```

=====

Version ii
Here is a geometry-optimized ThZnCuRh structure from the Alexandria database. Energies are from PBE.

Cell and atoms, written as extended XYZ:
```
4
Lattice="2.166 1.250 4.688 -2.166 1.250 4.688 0.000 -2.501 4.688" Properties=species:S:1:pos:R:3 pbc="T T T"
Th 0.000 0.000 0.000
Zn 0.000 0.000 7.080
Cu 0.000 0.000 11.145
Rh 0.000 0.000 3.070
```

=====

Which structure is most stable? version ii, by 139 meV per atom over the runner-up.